(1)
The following is a DFT calculation (PBE-GGA) of a relaxed structure of PmSi2Ir4.

a = 3.8637 Å, b = 7.6625 Å, c = 7.6625 Å
α = 90.00°, β = 90.00°, γ = 90.00°
Positions (direct):
Pm 0.5000 0.0000 0.0000
Pm 0.0000 0.5000 0.5000
Si 0.0000 0.2278 0.7722
Si 0.0000 0.7722 0.2278
Si 0.5000 0.7278 0.7278
Si 0.5000 0.2722 0.2722
Ir 0.0000 0.0754 0.3351
Ir 0.0000 0.9246 0.6649
Ir 0.5000 0.1649 0.5754
Ir 0.5000 0.8351 0.4246
Ir 0.5000 0.4246 0.8351
Ir 0.5000 0.5754 0.1649
Ir 0.0000 0.3351 0.0754
Ir 0.0000 0.6649 0.9246

Properties
* uncorrected formation energy: -0.774 eV/atom
* calculated volume: 16.20 Å³ per atom

***

(2)
The following is a DFT calculation (PBE-GGA) of a relaxed structure of Y5HoTm3.

a = 8.9177 Å, b = 8.9177 Å, c = 9.6364 Å
α = 117.56°, β = 117.56°, γ = 90.00°
Positions (direct):
Y 0.0712 0.5712 0.7363
Y 0.6651 0.1651 0.7363
Y 0.1651 0.0712 0.7363
Y 0.5712 0.6651 0.7363
Y 0.9288 0.4288 0.2637
Y 0.3349 0.8349 0.2637
Y 0.8349 0.9288 0.2637
Y 0.4288 0.3349 0.2637
Y 0.5000 0.5000 0.0000
Y 0.0000 0.0000 0.0000
Ho 0.7500 0.2500 0.5000
Ho 0.2500 0.7500 0.5000
Tm 0.6120 0.1120 0.0000
Tm 0.3880 0.8880 0.0000
Tm 0.8880 0.6120 0.0000
Tm 0.1120 0.3880 0.0000
Tm 0.2500 0.2500 0.5000
Tm 0.7500 0.7500 0.5000

Properties
* energy above the lowest structure with this stoichiometry: 84.7 meV/atom
* calculated volume: 32.19 Å³ per atom
* energy relative to the elements: 0.30 eV per atom

***

(3)
The following is a DFT calculation (PBE-GGA) of a relaxed structure of TlOs3Cl.

a = 4.4431 Å, b = 4.4431 Å, c = 4.4431 Å
α = 90.00°, β = 90.00°, γ = 90.00°
Positions (direct):
Tl 0.5000 0.5000 0.5000
Os 0.0000 0.5000 0.0000
Os 0.0000 0.0000 0.5000
Os 0.5000 0.0000 0.0000
Cl 0.0000 0.0000 0.0000

Properties
* uncorrected formation energy: 2.029 eV/atom
* energy above the lowest structure with this stoichiometry: 0.0 meV/atom
* calculated volume: 17.54 Å³ per atom

***

(4)
The following is a DFT calculation (PBE-GGA) of a relaxed structure of Re2SnCl.

a = 6.0060 Å, b = 6.0060 Å, c = 6.3969 Å
α = 62.00°, β = 62.00°, γ = 90.00°
Positions (direct):
Re 0.5642 0.1250 0.2500
Re 0.1858 0.6250 0.2500
Re 0.3750 0.4358 0.7500
Re 0.8750 0.8142 0.7500
Sn 0.0000 0.0000 0.0000
Sn 0.7500 0.2500 0.5000
Cl 0.5000 0.5000 0.0000
Cl 0.2500 0.7500 0.5000

Properties
* uncorrected formation energy: 1.611 eV/atom
* energy above the lowest structure with this stoichiometry: 393.6 meV/atom
* calculated volume: 21.57 Å³ per atom

***

(5)
The following is a DFT calculation (PBE-GGA) of a relaxed structure of Ba5Al.

a = 7.4840 Å, b = 7.4840 Å, c = 7.1815 Å
α = 90.00°, β = 90.00°, γ = 120.00°
Positions (direct):
Ba 0.3333 0.6667 0.0000
Ba 0.6667 0.3333 0.0000
Ba 0.5000 0.0000 0.5000
Ba 0.0000 0.5000 0.5000
Ba 0.5000 0.5000 0.5000
Al 0.0000 0.0000 0.0000

Properties
* energy above the lowest structure with this stoichiometry: 533.5 meV/atom
* calculated volume: 58.06 Å³ per atom
* energy relative to the elements: 0.52 eV per atom

***

(6)
The following is a DFT calculation (PBE-GGA) of a relaxed structure of SrPbI2.

a = 5.8848 Å, b = 5.8848 Å, c = 5.8848 Å
α = 60.00°, β = 60.00°, γ = 60.00°
Positions (direct):
Pb 0.5000 0.5000 0.5000
I 0.2500 0.2500 0.2500
I 0.7500 0.7500 0.7500
Sr 0.0000 0.0000 0.0000

Properties
* uncorrected formation energy: -0.680 eV/atom
* energy above the lowest structure with this stoichiometry: 49.1 meV/atom
* calculated volume: 36.03 Å³ per atom

***

Repeat the third record exactly.
The following is a DFT calculation (PBE-GGA) of a relaxed structure of TlOs3Cl.

a = 4.4431 Å, b = 4.4431 Å, c = 4.4431 Å
α = 90.00°, β = 90.00°, γ = 90.00°
Positions (direct):
Tl 0.5000 0.5000 0.5000
Os 0.0000 0.5000 0.0000
Os 0.0000 0.0000 0.5000
Os 0.5000 0.0000 0.0000
Cl 0.0000 0.0000 0.0000

Properties
* uncorrected formation energy: 2.029 eV/atom
* energy above the lowest structure with this stoichiometry: 0.0 meV/atom
* calculated volume: 17.54 Å³ per atom